A relaxed structure of Na2InSe2. Source: Alexandria, functional PBE-GGA.

a = 5.1103 Å, b = 6.8030 Å, c = 8.3464 Å
α = 90.00°, β = 107.83°, γ = 90.00°
Last column: nearest neighbours and their distance in Å.
Atoms (fractional coordinates):
Na  0.9820  0.7182  0.9641  4 Se 2.91-3.22
Na  0.7996  0.4187  0.5992  3 Se 2.98-3.32, 1 In 3.27
Na  0.2004  0.9187  0.4008  3 Se 2.98-3.32, 1 In 3.27
Na  0.0180  0.2182  0.0359  4 Se 2.91-3.22
In  0.3981  0.0501  0.7962  4 Se 2.74-2.82
In  0.6019  0.5501  0.2038  4 Se 2.74-2.82
Se  0.4318  0.4563  0.8635  2 In 2.78-2.82
Se  0.8411  0.9911  0.6822  2 In 2.74, 2 Na 2.91-2.98
Se  0.1589  0.4911  0.3178  2 In 2.74, 2 Na 2.91-2.98
Se  0.5682  0.9563  0.1365  2 In 2.78-2.82

SG = Cmc2_1 (36)
Magnetic moment = 0.00 μB/atom

A relaxed structure of Na3InSe3. Source: Alexandria, functional PBE-GGA.

a = 7.5538 Å, b = 8.3857 Å, c = 12.8362 Å
α = 94.74°, β = 90.00°, γ = 90.00°
Last column: nearest neighbours and their distance in Å.
Atoms (fractional coordinates):
Na  0.8199  0.8846  0.8477  3 Se 2.86-3.02
Na  0.6801  0.8846  0.3477  3 Se 2.86-3.02
Na  0.2799  0.6547  0.6702  4 Se 2.84-3.15
Na  0.7377  0.5915  0.6004  5 Se 3.07-3.16
Na  0.2201  0.6547  0.1702  4 Se 2.84-3.15
Na  0.7623  0.5915  0.1004  5 Se 3.07-3.16
Na  0.2377  0.4085  0.8996  5 Se 3.07-3.16
Na  0.7799  0.3453  0.8298  4 Se 2.84-3.15
Na  0.2623  0.4085  0.3996  5 Se 3.07-3.16
Na  0.7201  0.3453  0.3298  4 Se 2.84-3.15
Na  0.3199  0.1154  0.6523  3 Se 2.86-3.02
Na  0.1801  0.1154  0.1523  3 Se 2.86-3.02
In  0.3853  0.8265  0.9408  4 Se 2.55-2.70
In  0.1147  0.8265  0.4408  4 Se 2.55-2.70
In  0.8853  0.1735  0.5592  4 Se 2.55-2.70
In  0.6147  0.1735  0.0592  4 Se 2.55-2.70
Se  0.9699  0.8944  0.6318  2 In 2.67-2.70
Se  0.5301  0.8944  0.1318  2 In 2.67-2.70
Se  0.0709  0.7316  0.9736  1 In 2.55
Se  0.4291  0.7316  0.4736  1 In 2.55
Se  0.5546  0.6149  0.8225  1 In 2.58, 1 Na 2.84
Se  0.9454  0.6149  0.3225  1 In 2.58, 1 Na 2.84
Se  0.0546  0.3851  0.6775  1 In 2.58, 1 Na 2.84
Se  0.4454  0.3851  0.1775  1 In 2.58, 1 Na 2.84
Se  0.5709  0.2684  0.5264  1 In 2.55
Se  0.9291  0.2684  0.0264  1 In 2.55
Se  0.4699  0.1056  0.8682  2 In 2.67-2.70
Se  0.0301  0.1056  0.3682  2 In 2.67-2.70

SG = P2_1/c (14)
Magnetic moment = 0.00 μB/atom

Number 1: E above lowest polymorph 0.0 meV per atom, DFT total energy -3.26 eV per atom, uncorrected formation energy -0.79 eV/atom. Number 2: E above lowest polymorph 0.0 meV per atom, DFT total energy -3.36 eV per atom, uncorrected formation energy -0.91 eV/atom.